# CoAgSeO (PBE+U, relaxed)
# Crystal system   orthorhombic
# Distance to the lowest polymorph of the same formula   15.3 kJ per mole of atoms
# V   257.5 Å³ per cell
# Calculated total energy   -4.338 eV/atom
data_CoAgSeO
_space_group_name_H-M_alt 'P 1'
_space_group_IT_number 1
_cell_length_a 6.3534
_cell_length_b 3.1798
_cell_length_c 12.7472
_cell_angle_alpha 90.00
_cell_angle_beta 90.00
_cell_angle_gamma 90.00
loop_
_space_group_symop_operation_xyz
'x,y,z'
loop_
_atom_site_label
_atom_site_type_symbol
_atom_site_fract_x
_atom_site_fract_y
_atom_site_fract_z
_atom_site_occupancy
Co1 Co 0.2243 0.2500 0.0555 1
Co2 Co 0.2757 0.7500 0.5555 1
Co3 Co 0.7243 0.2500 0.4445 1
Co4 Co 0.7757 0.7500 0.9445 1
Ag1 Ag 0.0786 0.7500 0.2592 1
Ag2 Ag 0.4214 0.2500 0.7592 1
Ag3 Ag 0.5786 0.7500 0.2408 1
Ag4 Ag 0.9214 0.2500 0.7408 1
Se1 Se 0.1706 0.7500 0.9039 1
Se2 Se 0.3294 0.2500 0.4039 1
Se3 Se 0.6706 0.7500 0.5961 1
Se4 Se 0.8294 0.2500 0.0961 1
O1 O 0.1834 0.2500 0.6306 1
O2 O 0.3166 0.7500 0.1306 1
O3 O 0.6834 0.2500 0.8694 1
O4 O 0.8166 0.7500 0.3694 1